VASP calculation (PBE+U) on In2NiClO after structural relaxation.

The space group is P4/mmm (No. 123) and the conventional cell measures 5.7197, 5.7197 and 4.0457 Å, with angles of 90.00, 90.00 and 90.00 degrees. Symmetry generates all atoms from In at (0.0000, 0.5000, 0.0000), Ni at (0.0000, 0.0000, 0.5000), Cl at (0.0000, 0.0000, 0.0000) and O at (0.5000, 0.5000, 0.5000).

The calculation puts the calculated total energy at -2.26 eV/atom. The density of states at the Fermi level is 2.67 states/eV per atom.